22
Lattice="7.6673 -3.1178 0.0000 7.6673 3.1178 0.0000 -1.6716 0.0000 6.0507" Properties=species:S:1:pos:R:3 comment="CaEu2Cu2O6, relaxed, DFT PBE" formation_energy_uncorrected_mev_per_atom=-1982 magnetic_moment_mub_per_cell=27.98 energy_ev_per_atom=-7.48 rho_kg_m3=6510 pbc="T T T"
Ca 6.4135 2.7837 4.5380
Ca 7.2494 -2.7837 1.5127
Eu 1.8147 1.1709 4.3542
Eu 2.6505 -1.1709 1.3288
Eu 11.0124 1.1709 4.7218
Eu 11.8482 -1.1709 1.6965
Cu 6.3935 0.5947 0.0068
Cu 8.1052 0.5947 3.0185
Cu 5.5577 -0.5947 3.0322
Cu 7.2694 -0.5947 6.0438
O 1.7687 0.6936 0.1519
O 0.9329 -0.6936 3.1773
O 6.2627 1.1610 2.8717
O 3.7152 0.0295 3.1154
O 4.5510 -0.0295 0.0901
O 8.2360 1.1610 0.1537
O 5.4269 -1.1610 5.8970
O 9.1119 0.0295 5.9606
O 9.9477 -0.0295 2.9353
O 7.4002 -1.1610 3.1790
O 12.7300 0.6936 2.8734
O 11.8942 -0.6936 5.8987

22
Lattice="7.5861 -3.0821 0.0000 7.5861 3.0821 0.0000 -1.6493 0.0000 6.0443" Properties=species:S:1:pos:R:3 comment="Ca2EuCu2O6, relaxed, DFT PBE" formation_energy_uncorrected_mev_per_atom=-1943 magnetic_moment_mub_per_cell=13.82 energy_ev_per_atom=-6.69 rho_kg_m3=5349 pbc="T T T"
Ca 2.1506 1.1494 2.8693
Ca 6.7615 2.7903 3.0221
Ca 1.3260 -1.1494 5.8914
Ca 7.5861 -2.7903 0.0000
Eu 11.1852 1.1689 3.1890
Eu 12.0099 -1.1689 0.1668
Cu 5.0247 0.6106 4.5351
Cu 8.3816 0.5605 1.5287
Cu 5.8493 -0.6106 1.5130
Cu 7.5570 -0.5605 4.5508
O 8.8863 2.3601 1.7037
O 6.5568 1.1244 1.3890
O 3.2323 0.0092 4.6088
O 4.0570 -0.0092 1.5867
O 6.8374 1.1686 4.6828
O 5.7322 -1.1244 4.4112
O 9.3446 0.0755 4.4616
O 10.1693 -0.0755 1.4394
O 7.6621 -1.1686 1.6607
O 12.9487 0.6674 1.3865
O 12.1241 -0.6674 4.4087
O 8.0617 -2.3601 4.7258

4
Lattice="0.0000 3.8069 3.8069 3.8069 0.0000 3.8069 3.8069 3.8069 0.0000" Properties=species:S:1:pos:R:3 comment="CaEuCuPb, relaxed, DFT PBE" magnetic_moment_mub_per_cell=6.92 energy_ev_per_atom=-5.32 delta_e_f_ev_per_atom=-0.300 rho_kg_m3=6964 pbc="T T T"
Ca 0.0000 0.0000 0.0000
Eu 3.8069 3.8069 3.8069
Cu 1.9035 1.9035 1.9035
Pb 5.7104 5.7104 5.7104

4
Lattice="0.0000 3.5973 3.5973 3.5973 0.0000 3.5973 3.5973 3.5973 0.0000" Properties=species:S:1:pos:R:3 comment="CaEuCuPd, relaxed, DFT PBE" magnetic_moment_mub_per_cell=7.39 energy_ev_per_atom=-5.76 delta_e_f_ev_per_atom=-0.370 rho_kg_m3=6457 pbc="T T T"
Ca 0.0000 0.0000 0.0000
Eu 3.5973 3.5973 3.5973
Cu 1.7987 1.7987 1.7987
Pd 5.3960 5.3960 5.3960

4
Lattice="0.0000 3.5989 3.5989 3.5989 0.0000 3.5989 3.5989 3.5989 0.0000" Properties=species:S:1:pos:R:3 comment="CaEuCuSi, relaxed, DFT PBE" formation_energy_uncorrected_mev_per_atom=-261 magnetic_moment_mub_per_cell=6.81 energy_ev_per_atom=-5.71 rho_kg_m3=5053 pbc="T T T"
Ca 0.0000 0.0000 0.0000
Eu 3.5989 3.5989 3.5989
Cu 5.3983 5.3983 5.3983
Si 1.7994 1.7994 1.7994

4
Lattice="0.0000 3.6588 3.6588 3.6588 0.0000 3.6588 3.6588 3.6588 0.0000" Properties=species:S:1:pos:R:3 comment="CaEuZnCu, relaxed, DFT PBE" magnetic_moment_mub_per_cell=7.21 energy_ev_per_atom=-4.56 delta_e_f_ev_per_atom=-0.146 rho_kg_m3=5441 pbc="T T T"
Ca 0.0000 0.0000 0.0000
Eu 3.6588 3.6588 3.6588
Zn 5.4883 5.4883 5.4883
Cu 1.8294 1.8294 1.8294